Tb3NdN4: relaxed, PBE.

Calculated values
Theoretical density = 8.96 g cm⁻³
Total energy = -64.5 eV/cell
Excess energy over the best structure of this formula in the dataset = 0.08 eV/f.u.
Formation energy without anion corrections = -1.563 eV per atom

Unit cell a=5.006 b=5.006 c=5.006 alpha=90.00 beta=90.00 gamma=90.00
Sites, in units of the cell vectors:
Tb 0.000 0.000 0.500
Tb 0.000 0.500 0.000
Tb 0.500 0.000 0.000
Nd 0.500 0.500 0.500
N 0.000 0.000 0.000
N 0.000 0.500 0.500
N 0.500 0.000 0.500
N 0.500 0.500 0.000

TbNd2N3: relaxed, PBE.

Calculated values
Theoretical density = 8.17 g cm⁻³
Total energy = -47.8 eV/cell
Formation energy without anion corrections = -1.441 eV per atom

Unit cell a=8.063 b=8.063 c=8.063 alpha=154.16 beta=154.16 gamma=36.87
Sites, in units of the cell vectors:
Tb 0.000 0.000 0.000
Nd 0.336 0.336 0.000
Nd 0.664 0.664 0.000
N 0.162 0.162 0.000
N 0.500 0.500 0.000
N 0.838 0.838 0.000

TbNd3N4: relaxed, PBE.

Calculated values
Theoretical density = 8.04 g cm⁻³
Total energy = -127.2 eV/cell
Excess energy over the best structure of this formula in the dataset = 0.00 eV/f.u.
Formation energy without anion corrections = -1.421 eV per atom

Unit cell a=6.262 b=7.236 c=6.260 alpha=90.00 beta=109.45 gamma=90.00
Sites, in units of the cell vectors:
Tb 0.000 0.125 0.250
Tb 0.000 0.875 0.750
Nd 0.000 0.372 0.750
Nd 0.000 0.628 0.250
Nd 0.500 0.125 0.750
Nd 0.500 0.372 0.250
Nd 0.500 0.628 0.750
Nd 0.500 0.875 0.250
N 0.243 0.125 0.002
N 0.243 0.875 0.502
N 0.247 0.367 0.495
N 0.247 0.633 0.995
N 0.753 0.367 0.005
N 0.753 0.633 0.505
N 0.757 0.125 0.498
N 0.757 0.875 0.998

Tb2Nd4N: relaxed, PBE.

Calculated values
Theoretical density = 6.80 g cm⁻³
Total energy = -37.9 eV/cell
Formation energy without anion corrections = -0.181 eV per atom

Unit cell a=9.540 b=9.540 c=9.540 alpha=149.58 beta=149.58 gamma=43.56
Sites, in units of the cell vectors:
Tb 0.165 0.165 0.000
Tb 0.835 0.835 0.000
Nd 0.000 0.500 0.500
Nd 0.364 0.364 0.000
Nd 0.500 0.000 0.500
Nd 0.636 0.636 0.000
N 0.500 0.500 0.000

| no. | DOS(E_F) (states/eV/f.u.) |
| --- | --- |
| 1 | 1.1 |
| 2 | 0.8 |
| 3 | 0.7 |
| 4 | 9.3 |